A plane-wave DFT calculation with PBE-GGA was carried out for a relaxed RbGaGe crystal.

The space group is Cmcm (No. 63) and the conventional cell measures 7.260, 9.119 and 6.436 Å, with angles of 90.00, 90.00 and 90.00 degrees. The distinct sites, in fractional coordinates, are Rb at (0.000, 0.128, 0.250), Ga at (0.000, 0.500, 0.000) and Ge at (0.000, 0.303, 0.750).

Its formation energy is 0.059 eV per atom. Its total moment is 0.00 μB per atom. As for the energy: -0.1033 Ha/atom.